This record from Alexandria via LeMat-Bulk describes an optimized crystal structure of TbPmAsS. The functional is PBE.

Cell and atoms, written as POSCAR:
```
TbPmAsS
1.0
4.1039 0.0000 0.0000
0.0000 4.0963 0.2455
0.0000 -0.3441 5.7544
Tb As S Pm
1 1 1 1
direct
0.0000 0.8916 0.5923
0.0000 0.8914 0.0923
0.5000 0.3916 0.5926
0.5000 0.3914 0.0926
```

Properties
Calculated total energy in eV/atom: -6.32
M_tot in μB/cell: 0.0
Space group: P4/mmm, No. 123